[1]
An optimized crystal structure of CoCuAu2, computed with PBE-GGA.

Output
DFT formation energy, eV per formula unit: 0.607
VASP energy, eV/atom: -4.287
Total magnetic moment, μB per atom: 0.441

Lattice parameters (Å, degrees): 4.8547 4.8547 4.7284 78.38 78.38 33.31
With the nearest neighbours (Å) after each atom.
Positions (direct):
Co (0.4903, 0.4903, 0.4875)  2 Cu 2.64, 7 Au 2.70-2.79, 2 Co 2.78
Au (0.0082, 0.0082, 0.9690)  3 Cu 2.68-2.74, 4 Co 2.70-2.79, 5 Au 2.78-2.97
Cu (0.7615, 0.7615, 0.7596)  2 Co 2.64, 7 Au 2.68-2.81, 2 Cu 2.78
Au (0.2399, 0.2399, 0.2839)  4 Cu 2.69-2.81, 3 Co 2.70, 5 Au 2.78-2.97

[2]
An optimized crystal structure of CdIn2Ag, computed with PBE-GGA.

Output
DFT formation energy, eV per formula unit: 0.188
VASP energy, eV/atom: -2.264
Total magnetic moment, μB per atom: 0.000

Lattice parameters (Å, degrees): 6.3418 6.3418 6.3418 150.66 130.41 58.67
With the nearest neighbours (Å) after each atom.
Positions (direct):
Cd (0.2734, 0.7734, 0.5000)  2 Ag 2.94, 4 In 3.15, 2 Cd 3.21
In (0.7262, 0.2262, 0.5000)  2 Ag 3.01, 4 Cd 3.15, 2 In 3.21
In (0.0042, 0.0042, 0.0000)  4 Ag 3.11, 4 In 3.21-3.47, 2 Cd 3.38
Ag (0.4963, 0.4963, 0.0000)  2 Cd 2.94, 6 In 3.01-3.11, 2 Ag 3.21

[3]
An optimized crystal structure of PaSb2Ir, computed with PBE-GGA.

Output
Raw formation energy, eV/f.u.: 0.804
VASP energy, eV/atom: -6.449
Total magnetic moment, μB per atom: 0.000

Lattice parameters (Å, degrees): 3.1802 3.1802 10.6040 81.38 81.38 60.00
With the nearest neighbours (Å) after each atom.
Positions (direct):
Sb (0.9185, 0.9185, 0.2446)  1 Ir 2.55
Sb (0.0815, 0.0815, 0.7554)  1 Ir 2.55
Ir (0.0000, 0.0000, 0.0000)  2 Sb 2.55
Pa (0.5000, 0.5000, 0.5000)  6 Pa 3.18, 6 Sb 3.24

[4]
An optimized crystal structure of CoHg2As, computed with PBE-GGA.

Output
DFT formation energy, eV per formula unit: 0.393
VASP energy, eV/atom: -2.991
Total magnetic moment, μB per atom: 0.119

Lattice parameters (Å, degrees): 2.9441 2.9450 9.2896 90.00 90.00 90.00
With the nearest neighbours (Å) after each atom.
Positions (direct):
Co (0.5000, 0.5000, 0.7221)  4 As 2.44
Hg (0.0000, 0.0000, 0.9373)  4 Co 2.89, 4 Hg 2.94-2.95
Hg (0.5000, 0.5000, 0.2562)  4 Hg 2.94-2.95
As (0.0000, 0.0000, 0.5844)  4 Co 2.44

Number 4 is which compound?
CoHg2As

Among the records above, which one has the highest total magnetic moment?
CoCuAu2

Please write out number 3 again, unchanged.
An optimized crystal structure of PaSb2Ir, computed with PBE-GGA.

Output
Raw formation energy, eV/f.u.: 0.804
VASP energy, eV/atom: -6.449
Total magnetic moment, μB per atom: 0.000

Lattice parameters (Å, degrees): 3.1802 3.1802 10.6040 81.38 81.38 60.00
With the nearest neighbours (Å) after each atom.
Positions (direct):
Sb (0.9185, 0.9185, 0.2446)  1 Ir 2.55
Sb (0.0815, 0.0815, 0.7554)  1 Ir 2.55
Ir (0.0000, 0.0000, 0.0000)  2 Sb 2.55
Pa (0.5000, 0.5000, 0.5000)  6 Pa 3.18, 6 Sb 3.24